A plane-wave DFT calculation with GGA-PBE was carried out for a relaxed Lu crystal.

energy relative to the elements	49	meV/atom
energy	-4.475	eV/atom
energy above the lowest structure with this stoichiometry	49	meV/atom

Cell and atoms, written as POSCAR:
```
Lu
1.0
1.7296 0.9986 2.7416
-1.7296 0.9986 2.7416
0.0000 -1.9972 2.7416
Lu
1
direct
0.0000 0.0000 0.0000
```